Record 1
Compound: Mg2SiIr2
Source: Alexandria via LeMat-Bulk
Functional: PBE
Structure: optimized geometry

Computed properties:
polymorph energy (0 for the lowest one) = 32 meV per atom
uncorrected formation energy = -0.55 eV per atom
space-group type = P4/mbm, No. 127
ρ = 9219 kg/m3

a = 6.1531 Å, b = 6.1531 Å, c = 4.3877 Å
α = 90.00°, β = 90.00°, γ = 90.00°
With the nearest neighbours (Å) after each atom.
Fractional coordinates of all 10 atoms:
Mg1 0.1649 0.3351 0.0000  6 Ir 2.73-2.92, 1 Mg 2.87
Mg2 0.3351 0.8351 0.0000  6 Ir 2.73-2.92, 1 Mg 2.87
Mg3 0.6649 0.1649 0.0000  6 Ir 2.73-2.92, 1 Mg 2.87
Mg4 0.8351 0.6649 0.0000  6 Ir 2.73-2.92, 1 Mg 2.87
Si1 0.0000 0.0000 0.5000  4 Ir 2.35
Si2 0.5000 0.5000 0.5000  4 Ir 2.35
Ir1 0.1488 0.6488 0.5000  2 Si 2.35, 1 Ir 2.59
Ir2 0.3512 0.1488 0.5000  2 Si 2.35, 1 Ir 2.59
Ir3 0.6488 0.8512 0.5000  2 Si 2.35, 1 Ir 2.59
Ir4 0.8512 0.3512 0.5000  2 Si 2.35, 1 Ir 2.59

***

Record 2
Compound: Y3GaBi
Source: Alexandria via LeMat-Bulk
Functional: PBE
Structure: optimized geometry

Computed properties:
polymorph energy (0 for the lowest one) = 0 meV per atom
space-group type = P2_1/m, No. 11
ρ = 6322 kg/m3

a = 7.8563 Å, b = 4.0744 Å, c = 9.1599 Å
α = 90.00°, β = 102.26°, γ = 90.00°
With the nearest neighbours (Å) after each atom.
Fractional coordinates of all 10 atoms:
Y1 0.1620 0.2500 0.1810  2 Ga 3.00, 2 Bi 3.18
Y2 0.3176 0.7500 0.5312  3 Ga 3.02-3.19, 3 Bi 3.31-3.36
Y3 0.3371 0.7500 0.9119  3 Ga 2.97-3.17, 2 Bi 3.24
Y4 0.6629 0.2500 0.0881  3 Ga 2.97-3.17, 2 Bi 3.24
Y5 0.6824 0.2500 0.4688  3 Ga 3.02-3.19, 3 Bi 3.31-3.36
Y6 0.8380 0.7500 0.8190  2 Ga 3.00, 2 Bi 3.18
Ga1 0.4479 0.7500 0.2432  8 Y 2.97-3.19
Ga2 0.5521 0.2500 0.7568  8 Y 2.97-3.19
Bi1 0.0813 0.2500 0.6926  7 Y 3.18-3.36
Bi2 0.9187 0.7500 0.3074  7 Y 3.18-3.36

***

Record 3
Compound: LiZrMo2
Source: Alexandria via LeMat-Bulk
Functional: PBE
Structure: optimized geometry

Computed properties:
polymorph energy (0 for the lowest one) = 106 meV per atom
space-group type = P2/m, No. 10
ρ = 7017 kg/m3

a = 2.6694 Å, b = 4.9174 Å, c = 5.2896 Å
α = 90.00°, β = 98.69°, γ = 90.00°
With the nearest neighbours (Å) after each atom.
Fractional coordinates of all 4 atoms:
Li1 0.0000 0.0000 0.0000  2 Li 2.67, 2 Zr 2.78, 4 Mo 2.89
Zr1 0.5000 0.0000 0.5000  2 Zr 2.67, 2 Li 2.78, 4 Mo 2.95
Mo1 0.1843 0.5000 0.7408  3 Mo 2.59-2.67, 2 Li 2.89
Mo2 0.8157 0.5000 0.2592  3 Mo 2.59-2.67, 2 Li 2.89

***

Record 4
Compound: AlVAsBr2
Source: Alexandria via LeMat-Bulk
Functional: PBE
Structure: optimized geometry

Computed properties:
polymorph energy (0 for the lowest one) = 0 meV per atom
uncorrected formation energy = 0.03 eV per atom
space-group type = P4/mmm, No. 123
ρ = 3939 kg/m3

a = 5.2108 Å, b = 5.2108 Å, c = 4.8543 Å
α = 90.00°, β = 90.00°, γ = 90.00°
With the nearest neighbours (Å) after each atom.
Fractional coordinates of all 5 atoms:
Al1 0.0000 0.0000 0.0000  8 Br 3.56, 4 As 3.68
V1 0.5000 0.5000 0.5000  2 As 2.43, 4 Br 2.61
As1 0.5000 0.5000 0.0000  2 V 2.43
Br1 0.0000 0.5000 0.5000  2 V 2.61
Br2 0.5000 0.0000 0.5000  2 V 2.61